(1)
Below is crystalline Ce4In3Sn at its relaxed geometry, with properties calculated at the GGA-PBE level.

```
Ce4In3Sn
1.0
-1.884 -0.744 -4.380
-3.103 -3.186 1.876
-3.668 8.838 2.734
Sn Ce In
1 4 3
direct
0.500 0.000 0.000
0.376 0.376 0.752
0.624 0.624 0.248
0.124 0.124 0.248
0.876 0.876 0.752
0.000 0.500 0.000
0.750 0.250 0.500
0.250 0.750 0.500
```

Values from the calculation:
Formation enthalpy at 0 K: -0.424 eV per atom

***

(2)
Below is crystalline CeInSn6 at its relaxed geometry, with properties calculated at the GGA-PBE level.

```
CeInSn6
1.0
-3.017 1.531 3.394
-3.660 -5.576 -0.738
3.707 -3.067 4.678
Ce In Sn
1 1 6
direct
0.500 0.000 0.000
0.500 0.500 0.500
0.000 0.745 0.255
0.000 0.255 0.745
0.000 0.745 0.745
0.000 0.255 0.255
0.500 0.500 0.000
0.500 0.000 0.500
```

Values from the calculation:
Formation enthalpy at 0 K: -0.210 eV per atom

***

(3)
Below is crystalline CeIn3Sn2 at its relaxed geometry, with properties calculated at the GGA-PBE level.

```
CeIn3Sn2
1.0
-4.073 -1.510 -0.295
1.621 -4.566 0.985
-1.795 3.510 6.816
Ce In Sn
1 3 2
direct
0.000 0.000 0.000
0.500 0.175 0.350
0.500 0.500 0.000
0.500 0.825 0.650
0.000 0.658 0.315
0.000 0.342 0.685
```

Values from the calculation:
Formation enthalpy at 0 K: -0.189 eV per atom

***

(4)
Below is crystalline CeInSn4 at its relaxed geometry, with properties calculated at the GGA-PBE level.

```
CeInSn4
1.0
6.215 0.000 0.000
3.108 5.383 0.000
3.108 1.794 5.075
Sn Ce In
4 1 1
direct
0.625 0.625 0.125
0.625 0.125 0.625
0.625 0.625 0.625
0.125 0.625 0.625
0.250 0.250 0.250
0.000 0.000 0.000
```

Values from the calculation:
Formation enthalpy at 0 K: -0.160 eV per atom

***

(5)
Below is crystalline Ce3InSn3 at its relaxed geometry, with properties calculated at the GGA-PBE level.

```
Ce3InSn3
1.0
5.690 0.000 0.000
0.000 8.850 0.000
0.000 -4.425 7.664
Ce In Sn
6 2 6
direct
0.750 0.640 0.545
0.750 0.455 0.095
0.750 0.905 0.360
0.250 0.360 0.455
0.250 0.545 0.905
0.250 0.095 0.640
0.250 0.667 0.333
0.750 0.333 0.667
0.250 0.810 0.758
0.250 0.242 0.052
0.250 0.948 0.190
0.750 0.190 0.242
0.750 0.758 0.948
0.750 0.052 0.810
```

Values from the calculation:
Formation enthalpy at 0 K: -0.349 eV per atom

***

(6)
Below is crystalline Ce3In4Sn2 at its relaxed geometry, with properties calculated at the GGA-PBE level.

```
Ce3In4Sn2
1.0
-2.507 0.531 -3.724
4.952 -4.813 -4.020
-6.319 -3.057 3.818
Ce In Sn
3 4 2
direct
0.500 0.000 0.393
0.500 0.393 0.000
0.500 0.607 0.607
0.500 0.000 0.000
0.000 0.257 0.257
0.000 0.743 0.000
0.000 0.000 0.743
0.000 0.667 0.333
0.000 0.333 0.667
```

Values from the calculation:
Formation enthalpy at 0 K: -0.397 eV per atom

***

(7)
Below is crystalline Ce3InSn2 at its relaxed geometry, with properties calculated at the GGA-PBE level.

```
Ce3InSn2
1.0
3.449 0.000 0.000
0.000 3.449 0.000
0.000 0.000 13.797
Ce In Sn
3 1 2
direct
0.000 0.000 0.000
0.000 0.000 0.669
0.000 0.000 0.331
0.500 0.500 0.500
0.500 0.500 0.834
0.500 0.500 0.166
```

Values from the calculation:
Energy above the lowest structure with this stoichiometry: 0 meV/atom
Formation enthalpy at 0 K: -0.513 eV per atom

***

(8)
Below is crystalline CeIn6Sn at its relaxed geometry, with properties calculated at the GGA-PBE level.

```
CeIn6Sn
1.0
-0.528 -2.019 -3.897
5.454 -4.109 1.390
-4.256 -4.642 2.982
Ce In Sn
1 6 1
direct
0.500 0.000 0.000
0.000 0.744 0.256
0.000 0.256 0.744
0.000 0.744 0.744
0.000 0.256 0.256
0.500 0.500 0.000
0.500 0.000 0.500
0.500 0.500 0.500
```

Values from the calculation:
Formation enthalpy at 0 K: -0.134 eV per atom